(1)
The following is a PBE calculation of a geometry-optimized Er4NiAg3 structure, from the Alexandria database.

abc: 3.5236 3.5236 14.3191
angles: 90.00 90.00 90.00
Fractional coordinates of all 8 atoms:
Er  0.0000  0.0000  0.1116
Er  0.0000  0.0000  0.3707
Er  0.0000  0.0000  0.6293
Er  0.0000  0.0000  0.8884
Ni  0.5000  0.5000  0.0000
Ag  0.5000  0.5000  0.2424
Ag  0.5000  0.5000  0.5000
Ag  0.5000  0.5000  0.7576

Summary:
Symmetry   P4/mmm
Energy of formation from the pure elements   -0.359 eV/atom


(2)
The following is a PBE calculation of a geometry-optimized ThMgZrAl structure, from the Alexandria database.

abc: 5.1227 5.1227 5.1227
angles: 60.00 60.00 60.00
Fractional coordinates of all 4 atoms:
Th  0.0000  0.0000  0.0000
Mg  0.7500  0.7500  0.7500
Zr  0.5000  0.5000  0.5000
Al  0.2500  0.2500  0.2500

Summary:
Symmetry   F-43m
Energy of formation from the pure elements   -0.042 eV/atom


(3)
The following is a PBE calculation of a geometry-optimized YCuH2 structure, from the Alexandria database.

abc: 3.9992 3.9992 3.9992
angles: 60.00 60.00 60.00
Fractional coordinates of all 4 atoms:
Y  0.0000  0.0000  0.0000
Cu  0.5000  0.5000  0.5000
H  0.2500  0.2500  0.2500
H  0.7500  0.7500  0.7500

Summary:
Symmetry   Fm-3m


(4)
The following is a PBE calculation of a geometry-optimized Tb5Y6Ho2 structure, from the Alexandria database.

abc: 11.6561 20.3162 3.5736
angles: 90.00 90.00 90.00
Fractional coordinates of all 26 atoms:
Tb  0.0000  0.0000  0.0000
Tb  0.0883  0.2722  0.0000
Tb  0.1993  0.5495  0.0000
Tb  0.3007  0.0495  0.0000
Tb  0.4117  0.7722  0.0000
Tb  0.5000  0.5000  0.0000
Tb  0.5883  0.2278  0.0000
Tb  0.6993  0.9505  0.0000
Tb  0.8007  0.4505  0.0000
Tb  0.9117  0.7278  0.0000
Y  0.0578  0.4185  0.5000
Y  0.0838  0.1307  0.5000
Y  0.1736  0.8634  0.0000
Y  0.3264  0.3634  0.0000
Y  0.4162  0.6307  0.5000
Y  0.4422  0.9185  0.5000
Y  0.5578  0.0815  0.5000
Y  0.5838  0.3693  0.5000
Y  0.6736  0.6366  0.0000
Y  0.8264  0.1366  0.0000
Y  0.9162  0.8693  0.5000
Y  0.9422  0.5815  0.5000
Ho  0.1674  0.7092  0.5000
Ho  0.3326  0.2092  0.5000
Ho  0.6674  0.7908  0.5000
Ho  0.8326  0.2908  0.5000

Summary:
Symmetry   Pbam
Energy of formation from the pure elements   0.100 eV/atom


(5)
The following is a PBE calculation of a geometry-optimized CoW structure, from the Alexandria database.

abc: 7.4299 7.4299 4.1988
angles: 90.00 90.00 90.00
Fractional coordinates of all 16 atoms:
Co  0.0415  0.2337  0.0000
Co  0.1033  0.7840  0.5000
Co  0.2160  0.1033  0.5000
Co  0.2337  0.9585  0.0000
Co  0.7663  0.0415  0.0000
Co  0.7840  0.8967  0.5000
Co  0.8967  0.2160  0.5000
Co  0.9585  0.7663  0.0000
W  0.1710  0.4361  0.5000
W  0.2834  0.6315  0.0000
W  0.3685  0.2834  0.0000
W  0.4361  0.8290  0.5000
W  0.5639  0.1710  0.5000
W  0.6315  0.7166  0.0000
W  0.7166  0.3685  0.0000
W  0.8290  0.5639  0.5000

Summary:
Symmetry   P4/m
Energy of formation from the pure elements   0.518 eV/atom


(6)
The following is a PBE calculation of a geometry-optimized GaHgBi2Br structure, from the Alexandria database.

abc: 5.6770 5.6770 6.2542
angles: 90.00 90.00 90.00
Fractional coordinates of all 5 atoms:
Ga  0.0000  0.0000  0.0000
Hg  0.5000  0.5000  0.0000
Bi  0.0000  0.5000  0.5000
Bi  0.5000  0.0000  0.5000
Br  0.5000  0.5000  0.5000

Summary:
Symmetry   P4/mmm
Uncorrected formation energy   0.61 eV per atom


no.,total energy (eV/atom)
1,-4.4323
2,-5.3686
3,-4.5249
4,-5.3689
5,-9.5111
6,-1.9437